Computed, not measured: AcTa3Cu4S12 after structural relaxation at the PBE level of DFT.

Computed properties:
Magnetization: 0.00 μB per formula unit
Final energy: -119.54 eV for the cell shown
Space-group type: R32 (155)
Formation energy (no corrections): -0.70 eV per atom
Volume: 454.28 Å³ per cell

Cell and atoms, written as extended XYZ:
```
20
Lattice="6.5857 3.8023 3.0236 -6.5857 3.8023 3.0236 0.0000 -7.6045 3.0236" Properties=species:S:1:pos:R:3 pbc="T T T"
Ac 0.0000 0.0000 0.0000
Ta -3.6409 -1.2983 3.0236
Ta 2.9448 -2.5039 3.0236
Ta 0.6960 3.8023 3.0236
Cu -2.8873 -5.0010 4.5354
Cu 0.0000 0.0000 4.5354
Cu -2.8873 5.0010 4.5354
Cu 5.7746 0.0000 4.5354
S -4.1705 -3.2294 4.2845
S -5.1773 0.0000 4.5354
S -0.7115 -5.2265 4.7864
S -2.2045 0.0000 4.5354
S -4.1705 3.2294 4.7864
S 2.5887 -4.4837 4.5354
S 1.1022 -1.9092 4.5354
S -0.7115 5.2265 4.2845
S 1.1022 1.9092 4.5354
S 4.8820 -1.9971 4.2845
S 2.5887 4.4837 4.5354
S 4.8820 1.9971 4.7864
```

Computed, not measured: Ac2TbCu2S6 after structural relaxation at the PBE level of DFT.

Computed properties:
Magnetization: 0.00 μB per formula unit
Final energy: -59.61 eV for the cell shown
Space-group type: R-3m (166)
Formation energy (no corrections): -1.25 eV per atom
Volume: 290.79 Å³ per cell

Cell and atoms, written as extended XYZ:
```
11
Lattice="3.5262 2.0359 6.7510 -3.5262 2.0359 6.7510 0.0000 -4.0717 6.7510" Properties=species:S:1:pos:R:3 pbc="T T T"
Ac 0.0000 0.0000 4.1664
Ac 0.0000 0.0000 16.0865
Tb 0.0000 0.0000 0.0000
Cu 0.0000 0.0000 8.6917
Cu 0.0000 0.0000 11.5612
S -1.8771 -1.0837 11.5875
S 0.0000 -2.1675 8.6653
S -1.8771 1.0837 8.6653
S 1.8771 -1.0837 11.5875
S 0.0000 2.1675 11.5875
S 1.8771 1.0837 8.6654
```

Computed, not measured: AcTb2CuS5 after structural relaxation at the PBE level of DFT.

Computed properties:
Magnetization: 0.00 μB per formula unit
Final energy: -108.39 eV for the cell shown
Space-group type: I4/mcm (140)
Formation energy (no corrections): -1.79 eV per atom
Volume: 380.79 Å³ per cell

Cell and atoms, written as extended XYZ:
```
18
Lattice="-3.7836 3.7836 6.6498 3.7836 -3.7836 6.6498 3.7836 3.7836 -6.6498" Properties=species:S:1:pos:R:3 pbc="T T T"
Ac 0.0000 0.0000 3.3249
Ac 0.0000 0.0000 9.9746
Tb 4.9917 1.2081 0.0000
Tb 1.2081 2.5755 0.0000
Tb 2.5755 1.2081 6.6498
Tb -1.2081 2.5755 6.6498
Cu 3.7836 0.0000 3.3249
Cu 0.0000 3.7836 3.3249
S 0.0000 0.0000 0.0000
S 2.5928 1.1908 -1.8181
S 2.5928 -1.1908 4.8317
S 2.5928 1.1908 1.8181
S 2.5928 -1.1908 8.4679
S 0.0000 0.0000 6.6498
S 1.1908 4.9744 -1.8181
S 1.1908 2.5928 4.8317
S 1.1908 4.9744 1.8181
S 1.1908 2.5928 8.4679
```

Computed, not measured: Ac2CuTeS6 after structural relaxation at the PBE level of DFT.

Computed properties:
Magnetization: 0.00 μB per formula unit
Final energy: -101.99 eV for the cell shown
Space-group type: P2_1/c (14)
Formation energy (no corrections): -1.08 eV per atom
Volume: 474.55 Å³ per cell

Cell and atoms, written as extended XYZ:
```
20
Lattice="6.7129 0.0000 0.0000 0.0000 7.3724 0.0000 -6.5841 0.0000 9.5887" Properties=species:S:1:pos:R:3 pbc="T T T"
Ac -0.1795 0.7073 2.3851
Ac -3.4715 2.9789 7.1795
Ac 3.6003 4.3935 2.4092
Ac 0.3083 6.6652 7.2036
Cu -3.2920 0.0000 4.7944
Cu 0.0000 3.6862 0.0000
Te 3.3564 0.0000 0.0000
Te 0.0644 3.6862 4.7944
S -5.3730 1.4215 9.1214
S -2.0809 2.2648 4.3270
S -4.5436 5.0651 9.1729
S -1.2516 5.9936 4.3785
S -2.6134 0.0897 7.0680
S 0.6786 3.5965 2.2736
S -0.5498 3.7759 7.3151
S 2.7422 7.2828 2.5207
S 1.3804 1.3789 5.2102
S 4.6724 2.3074 0.4159
S 2.2097 5.1077 5.2617
S 5.5017 5.9510 0.4673
```

Computed, not measured: Ac2CuTeS5 after structural relaxation at the PBE level of DFT.

Computed properties:
Magnetization: 0.00 μB per formula unit
Final energy: -93.15 eV for the cell shown
Space-group type: Cmc2_1 (36)
Formation energy (no corrections): -1.16 eV per atom
Volume: 430.37 Å³ per cell

Cell and atoms, written as extended XYZ:
```
18
Lattice="2.1416 -8.4472 0.0000 2.1416 8.4472 0.0000 0.0000 0.0000 11.8950" Properties=species:S:1:pos:R:3 pbc="T T T"
Ac 2.1416 6.5422 5.9475
Ac 2.1416 6.3406 10.5565
Ac 2.1416 -6.3406 4.6090
Ac 2.1416 -6.5422 0.0000
Cu 2.1416 0.0419 8.0604
Cu 2.1416 -0.0419 2.1129
Te 2.1416 5.2816 2.4256
Te 2.1416 -5.2816 8.3731
S 2.1416 7.9172 2.9698
S 2.1416 3.6004 6.1004
S 2.1416 3.3240 9.8042
S 2.1416 2.5169 2.2776
S 2.1416 0.1486 5.7494
S 2.1416 -0.1486 11.6969
S 2.1416 -2.5169 8.2251
S 2.1416 -3.3240 3.8567
S 2.1416 -3.6004 0.1529
S 2.1416 -7.9172 8.9173
```

Computed, not measured: Ac2ThCuS5 after structural relaxation at the PBE level of DFT.

Computed properties:
Magnetization: 0.00 μB per formula unit
Final energy: -113.14 eV for the cell shown
Space-group type: Cmc2_1 (36)
Formation energy (no corrections): -1.80 eV per atom
Volume: 433.72 Å³ per cell

Cell and atoms, written as extended XYZ:
```
18
Lattice="2.0220 -8.5333 0.0000 2.0220 8.5333 0.0000 0.0000 0.0000 12.5684" Properties=species:S:1:pos:R:3 pbc="T T T"
Ac 2.0220 6.5499 6.2842
Ac 2.0220 6.4528 1.8645
Ac 2.0220 -6.4528 8.1487
Ac 2.0220 -6.5499 0.0000
Th 2.0220 5.5027 10.4358
Th 2.0220 -5.5027 4.1515
Cu 2.0220 0.8546 2.8163
Cu 2.0220 -0.8546 9.1005
S 2.0220 8.2289 10.1892
S 2.0220 3.3809 6.1389
S 2.0220 3.1450 2.1338
S 2.0220 2.6998 10.3650
S 2.0220 0.1246 7.0185
S 2.0220 -0.1246 0.7343
S 2.0220 -2.6998 4.0807
S 2.0220 -3.1450 8.4180
S 2.0220 -3.3809 12.4231
S 2.0220 -8.2289 3.9050
```

Computed, not measured: Ac2TiCuS5 after structural relaxation at the PBE level of DFT.

Computed properties:
Magnetization: 0.86 μB per formula unit
Final energy: -110.91 eV for the cell shown
Space-group type: Cmc2_1 (36)
Formation energy (no corrections): -1.62 eV per atom
Volume: 397.82 Å³ per cell

Cell and atoms, written as extended XYZ:
```
18
Lattice="2.0057 -8.4978 0.0000 2.0057 8.4978 0.0000 0.0000 0.0000 11.6704" Properties=species:S:1:pos:R:3 pbc="T T T"
Ac 2.0057 6.4687 5.8352
Ac 2.0057 6.3265 1.3323
Ac 2.0057 -6.3265 7.1675
Ac 2.0057 -6.4687 0.0000
Ti 2.0057 5.2584 9.5128
Ti 2.0057 -5.2584 3.6776
Cu 2.0057 1.1640 2.9119
Cu 2.0057 -1.1640 8.7471
S 2.0057 7.5852 9.9049
S 2.0057 3.4986 5.3365
S 2.0057 3.3259 2.0305
S 2.0057 2.6400 9.4574
S 2.0057 -0.0016 0.9234
S 2.0057 0.0016 6.7586
S 2.0057 -2.6400 3.6222
S 2.0057 -3.3259 7.8657
S 2.0057 -3.4986 11.1717
S 2.0057 -7.5852 4.0697
```

Computed, not measured: Ac2TiCu2S6 after structural relaxation at the PBE level of DFT.

Computed properties:
Magnetization: 0.00 μB per formula unit
Final energy: -62.49 eV for the cell shown
Space-group type: R-3m (166)
Formation energy (no corrections): -1.22 eV per atom
Volume: 246.51 Å³ per cell

Cell and atoms, written as extended XYZ:
```
11
Lattice="3.4902 2.0151 5.8418 -3.4902 2.0151 5.8418 0.0000 -4.0301 5.8418" Properties=species:S:1:pos:R:3 pbc="T T T"
Ac 0.0000 0.0000 3.9011
Ac 0.0000 0.0000 13.6242
Ti 0.0000 0.0000 0.0000
Cu 0.0000 0.0000 7.3230
Cu 0.0000 0.0000 10.2023
S -1.8811 -1.0860 10.1528
S 0.0000 -2.1721 7.3725
S -1.8811 1.0860 7.3725
S 1.8811 -1.0860 10.1528
S 0.0000 2.1721 10.1528
S 1.8811 1.0860 7.3725
```

Computed, not measured: AcTlCuS3 after structural relaxation at the PBE level of DFT.

Computed properties:
Magnetization: 0.00 μB per formula unit
Final energy: -57.59 eV for the cell shown
Space-group type: P2_1/m (11)
Formation energy (no corrections): -0.97 eV per atom
Volume: 331.20 Å³ per cell

Cell and atoms, written as extended XYZ:
```
12
Lattice="8.7155 0.0000 0.0000 0.0000 4.1067 0.0000 -0.1095 0.0000 9.2533" Properties=species:S:1:pos:R:3 pbc="T T T"
Ac 1.6898 1.0267 1.2467
Ac 6.9162 3.0800 8.0066
Tl 1.5639 1.0267 5.6361
Tl 7.0421 3.0800 3.6172
Cu 3.4778 3.0800 8.4034
Cu 5.1282 1.0267 0.8499
S 1.2036 3.0800 3.3126
S 1.1831 3.0800 8.3049
S 4.2003 3.0800 1.4381
S 4.4057 1.0267 7.8152
S 7.4229 1.0267 0.9485
S 7.4024 1.0267 5.9408
```

Computed, not measured: Ac2TlCuS5 after structural relaxation at the PBE level of DFT.

Computed properties:
Magnetization: 0.00 μB per formula unit
Final energy: -93.45 eV for the cell shown
Space-group type: Cmc2_1 (36)
Formation energy (no corrections): -1.27 eV per atom
Volume: 428.12 Å³ per cell

Cell and atoms, written as extended XYZ:
```
18
Lattice="2.0625 -8.6253 0.0000 2.0625 8.6253 0.0000 0.0000 0.0000 12.0326" Properties=species:S:1:pos:R:3 pbc="T T T"
Ac 2.0625 6.6155 6.0163
Ac 2.0625 6.5442 1.3755
Ac 2.0625 -6.5442 7.3918
Ac 2.0625 -6.6155 0.0000
Tl 2.0625 5.3420 9.7530
Tl 2.0625 -5.3420 3.7366
Cu 2.0625 0.0230 9.5044
Cu 2.0625 -0.0230 3.4881
S 2.0625 8.0346 10.3406
S 2.0625 3.5609 5.6890
S 2.0625 3.4859 1.8097
S 2.0625 2.4860 9.7576
S 2.0625 0.0737 1.1600
S 2.0625 -0.0737 7.1763
S 2.0625 -2.4860 3.7413
S 2.0625 -3.4859 7.8260
S 2.0625 -3.5609 11.7053
S 2.0625 -8.0346 4.3243
```

Computed, not measured: Ac2TlCuS4 after structural relaxation at the PBE level of DFT.

Computed properties:
Magnetization: 0.00 μB per formula unit
Final energy: -85.56 eV for the cell shown
Space-group type: Cmcm (63)
Formation energy (no corrections): -1.45 eV per atom
Volume: 454.00 Å³ per cell

Cell and atoms, written as extended XYZ:
```
16
Lattice="2.1385 -7.3090 0.0000 2.1385 7.3090 0.0000 0.0000 0.0000 14.5231" Properties=species:S:1:pos:R:3 pbc="T T T"
Ac 2.1385 5.3474 8.1479
Ac 2.1385 5.3474 13.6368
Ac 2.1385 -5.3474 0.8863
Ac 2.1385 -5.3474 6.3753
Tl 2.1385 1.5188 10.8923
Tl 2.1385 -1.5188 3.6308
Cu 2.1385 2.4371 3.6308
Cu 2.1385 -2.4371 10.8923
S 2.1385 6.2078 10.8923
S 2.1385 3.8153 1.7166
S 2.1385 3.8153 5.5450
S 2.1385 0.0000 0.0000
S 2.1385 0.0000 7.2616
S 2.1385 -3.8153 8.9781
S 2.1385 -3.8153 12.8066
S 2.1385 -6.2078 3.6308
```

Computed, not measured: AcTmCuS4 after structural relaxation at the PBE level of DFT.

Computed properties:
Magnetization: 0.00 μB per formula unit
Final energy: -79.74 eV for the cell shown
Space-group type: P2_1/m (11)
Formation energy (no corrections): -1.53 eV per atom
Volume: 301.71 Å³ per cell

Cell and atoms, written as extended XYZ:
```
14
Lattice="6.7262 0.0000 0.0000 0.0000 5.7585 0.0000 -2.4266 0.0000 7.7896" Properties=species:S:1:pos:R:3 pbc="T T T"
Ac 0.5526 1.4396 3.3849
Ac 3.7469 4.3189 4.4047
Tm -0.7030 1.4396 7.2974
Tm 5.0026 4.3189 0.4922
Cu 1.2872 4.3189 1.4366
Cu 3.0123 1.4396 6.3530
S -1.7555 4.3189 7.0417
S -0.4558 4.3189 2.9099
S 1.3743 2.9555 5.9986
S 1.3743 5.6822 5.9986
S 2.9253 0.0762 1.7910
S 2.9253 2.8030 1.7910
S 4.7553 1.4396 4.8797
S 6.0551 1.4396 0.7479
```